This record from Alexandria via LeMat-Bulk describes a geometry-optimized RbZnFe2F8 structure. The functional is PBE+U.

- VASP energy: -0.173 Ha/atom
- SG: P-3, No. 147

Cell: 5.513 5.513 7.954 Å, 90.00 90.00 120.00°
Site moments in Bohr magnetons follow the coordinates.
Atoms (fractional coordinates):
Rb: 0.000 0.000 0.000  0.00
Zn: 0.000 0.000 0.500  0.02
Fe: 0.667 0.333 0.278  4.12
Fe: 0.333 0.667 0.722  4.12
F: 0.333 0.667 0.957  0.10
F: 0.310 0.282 0.346  0.06
F: 0.718 0.028 0.346  0.06
F: 0.667 0.333 0.043  0.10
F: 0.282 0.972 0.654  0.06
F: 0.690 0.718 0.654  0.06
F: 0.028 0.310 0.654  0.06
F: 0.972 0.690 0.346  0.06